Below is a geometry-optimized FeAgNO2 structure, with properties calculated at the PBE with a Hubbard U level.

Output
- E: -25.16 eV for the cell shown

Cell: 3.8585 3.8585 3.9532 Å, 90.00 90.00 90.00°
With the nearest neighbours (Å) after each atom.
Sites, in units of the cell vectors:
Ag (0.5000, 0.5000, 0.5000)  4 N 2.73, 8 O 2.76
Fe (0.0000, 0.0000, 0.0000)  4 O 1.93, 2 N 1.98
N (0.0000, 0.0000, 0.5000)  2 Fe 1.98
O (0.0000, 0.5000, 0.0000)  2 Fe 1.93
O (0.5000, 0.0000, 0.0000)  2 Fe 1.93